No. 1
# Li2SiMo (PBE, optimized geometry)
data_Li2SiMo
_chemical_formula_sum 'Li6 Si3 Mo3'
_cell_length_a 2.7027
_cell_length_b 2.7027
_cell_length_c 27.9756
_cell_angle_alpha 90.00
_cell_angle_beta 90.00
_cell_angle_gamma 120.00
_space_group_name_H-M_alt 'R -3 m'
_space_group_IT_number 166
_space_group_name_Hall '-R 3 2"'
loop_
_atom_site_label
_atom_site_fract_x
_atom_site_fract_y
_atom_site_fract_z
_atom_site_occupancy
Li1 0.0000 0.0000 0.2447 1
Si1 0.0000 0.0000 0.5000 1
Mo1 0.0000 0.0000 0.0000 1
# formation energy without anion corrections: 0.211 eV/atom
# uncorrected energy: -57.7 eV for the cell shown

***

No. 2
# LiAcZnHg (PBE, optimized geometry)
data_LiAcZnHg
_chemical_formula_sum 'Li4 Ac4 Zn4 Hg4'
_cell_length_a 7.471
_cell_length_b 7.471
_cell_length_c 7.471
_cell_angle_alpha 90.00
_cell_angle_beta 90.00
_cell_angle_gamma 90.00
_space_group_name_H-M_alt 'F -4 3 m'
_space_group_IT_number 216
_space_group_name_Hall 'F -4 2 3'
loop_
_atom_site_label
_atom_site_fract_x
_atom_site_fract_y
_atom_site_fract_z
_atom_site_occupancy
Li1 0.000 0.000 0.000 1
Ac1 0.000 0.000 0.500 1
Zn1 0.250 0.250 0.250 1
Hg1 0.250 0.250 0.750 1
# ΔE to the lowest computed polymorph: 0.12 eV per formula unit
# uncorrected energy: -34.8 eV for the cell shown
# E_form: -1.11 eV per formula unit

***

No. 3
# Sm2HoRu (PBE, optimized geometry)
data_Sm2HoRu
_chemical_formula_sum 'Sm8 Ho4 Ru4'
_cell_length_a 7.349
_cell_length_b 9.444
_cell_length_c 6.365
_cell_angle_alpha 90.00
_cell_angle_beta 90.00
_cell_angle_gamma 90.00
_space_group_name_H-M_alt 'P n m a'
_space_group_IT_number 62
loop_
_space_group_symop_operation_xyz
'x,y,z'
'-x,-y,-z'
'-x+1/2,-y,z+1/2'
'x+1/2,y,-z+1/2'
'x+1/2,-y+1/2,-z+1/2'
'-x+1/2,y+1/2,z+1/2'
'-x,y+1/2,-z'
'x,-y+1/2,z'
loop_
_atom_site_label
_atom_site_fract_x
_atom_site_fract_y
_atom_site_fract_z
_atom_site_occupancy
Sm1 0.177 0.065 0.170 1
Ho1 0.043 0.250 0.641 1
Ru1 0.115 0.750 0.962 1
# ΔE to the lowest computed polymorph: 0.00 eV per formula unit
# uncorrected energy: -97.4 eV for the cell shown
# E_form: -1.05 eV per formula unit

***

No. 4
# Ce2DyZn9 (PBE, optimized geometry)
data_Ce2DyZn9
_chemical_formula_sum 'Ce6 Dy3 Zn27'
_cell_length_a 5.3856
_cell_length_b 5.3856
_cell_length_c 26.4350
_cell_angle_alpha 90.00
_cell_angle_beta 90.00
_cell_angle_gamma 120.00
_space_group_name_H-M_alt 'R -3 m'
_space_group_IT_number 166
_space_group_name_Hall '-R 3 2"'
loop_
_atom_site_label
_atom_site_fract_x
_atom_site_fract_y
_atom_site_fract_z
_atom_site_occupancy
Ce1 0.0000 0.0000 0.1474 1
Dy1 0.0000 0.0000 0.0000 1
Zn1 0.0000 0.0000 0.3353 1
Zn2 0.0000 0.0000 0.5000 1
Zn3 0.0040 0.5020 0.9195 1
# uncorrected energy: -93.3 eV for the cell shown
# E_form: -3.15 eV per formula unit

***

No. 5
# HoScInCo (PBE, optimized geometry)
data_HoScInCo
_chemical_formula_sum 'Ho4 Sc4 In4 Co4'
_cell_length_a 6.963
_cell_length_b 6.963
_cell_length_c 6.963
_cell_angle_alpha 90.00
_cell_angle_beta 90.00
_cell_angle_gamma 90.00
_space_group_name_H-M_alt 'F -4 3 m'
_space_group_IT_number 216
_space_group_name_Hall 'F -4 2 3'
loop_
_atom_site_label
_atom_site_fract_x
_atom_site_fract_y
_atom_site_fract_z
_atom_site_occupancy
Ho1 0.000 0.000 0.000 1
Sc1 0.000 0.000 0.500 1
In1 0.250 0.250 0.250 1
Co1 0.250 0.250 0.750 1
# ΔE to the lowest computed polymorph: 0.57 eV per formula unit
# uncorrected energy: -86.5 eV for the cell shown
# E_form: -0.88 eV per formula unit

***

No. 6
# Ac2LaPr5Ho (PBE, optimized geometry)
data_Ac2LaPr5Ho
_chemical_formula_sum 'Ac8 La4 Pr20 Ho4'
_cell_length_a 5.915
_cell_length_b 20.886
_cell_length_c 11.051
_cell_angle_alpha 90.00
_cell_angle_beta 90.00
_cell_angle_gamma 90.00
_space_group_name_H-M_alt 'C m c 21'
_space_group_IT_number 36
loop_
_space_group_symop_operation_xyz
'x,y,z'
'-x,-y,z+1/2'
'-x,y,z'
'x,-y,z+1/2'
'x+1/2,y+1/2,z'
'-x+1/2,-y+1/2,z+1/2'
'-x+1/2,y+1/2,z'
'x+1/2,-y+1/2,z+1/2'
loop_
_atom_site_label
_atom_site_fract_x
_atom_site_fract_y
_atom_site_fract_z
_atom_site_occupancy
Ac1 0.000 0.115 0.000 1
Ac2 0.000 0.117 0.586 1
La1 0.000 0.411 0.734 1
Pr1 0.000 0.018 0.290 1
Pr2 0.000 0.281 0.584 1
Pr3 0.000 0.294 0.974 1
Pr4 0.000 0.384 0.288 1
Pr5 0.000 0.485 0.012 1
Ho1 0.000 0.206 0.279 1
# uncorrected energy: -161.9 eV for the cell shown
# E_form: 1.15 eV per formula unit

***

No. 7
# NiC2 (PBE, optimized geometry)
data_NiC2
_chemical_formula_sum 'Ni2 C4'
_cell_length_a 2.5041
_cell_length_b 2.5041
_cell_length_c 8.9266
_cell_angle_alpha 90.00
_cell_angle_beta 90.00
_cell_angle_gamma 120.00
_space_group_name_H-M_alt 'P 63/m m c'
_space_group_IT_number 194
_space_group_name_Hall '-P 6c 2c'
loop_
_atom_site_label
_atom_site_fract_x
_atom_site_fract_y
_atom_site_fract_z
_atom_site_occupancy
Ni1 0.3333 0.6667 0.2500 1
C1 0.3333 0.6667 0.0101 1
# ΔE to the lowest computed polymorph: 0.00 eV per formula unit
# uncorrected energy: -45.9 eV for the cell shown
# E_form: 1.26 eV per formula unit

***

No. 8
# Ba4Te3S (PBE, optimized geometry)
data_Ba4Te3S
_chemical_formula_sum 'Ba8 Te6 S2'
_cell_length_a 8.507
_cell_length_b 9.823
_cell_length_c 8.477
_cell_angle_alpha 90.00
_cell_angle_beta 109.52
_cell_angle_gamma 90.00
_space_group_name_H-M_alt 'P 1 2/c 1'
_space_group_IT_number 13
loop_
_space_group_symop_operation_xyz
'x,y,z'
'-x,-y,-z'
'-x,y,-z+1/2'
'x,-y,z+1/2'
loop_
_atom_site_label
_atom_site_fract_x
_atom_site_fract_y
_atom_site_fract_z
_atom_site_occupancy
Ba1 0.232 0.116 0.004 1
Ba2 0.244 0.365 0.489 1
Te1 0.000 0.373 0.750 1
Te2 0.500 0.124 0.750 1
Te3 0.500 0.374 0.250 1
S1 0.000 0.121 0.250 1
# formation energy without anion corrections: -1.835 eV/atom
# uncorrected energy: -71.8 eV for the cell shown

***

No. 9
# InSiAg2 (PBE, optimized geometry)
data_InSiAg2
_chemical_formula_sum 'In2 Si2 Ag4'
_cell_length_a 3.460
_cell_length_b 4.883
_cell_length_c 9.132
_cell_angle_alpha 90.00
_cell_angle_beta 90.00
_cell_angle_gamma 90.00
_space_group_name_H-M_alt 'I m m m'
_space_group_IT_number 71
_space_group_name_Hall '-I 2 2'
loop_
_atom_site_label
_atom_site_fract_x
_atom_site_fract_y
_atom_site_fract_z
_atom_site_occupancy
In1 0.000 0.000 0.000 1
Si1 0.000 0.000 0.500 1
Ag1 0.000 0.500 0.232 1
# formation energy without anion corrections: 0.259 eV/atom
# uncorrected energy: -25.7 eV for the cell shown

***

No. 10
# Tb4Sm (PBE, optimized geometry)
data_Tb4Sm
_chemical_formula_sum 'Tb8 Sm2'
_cell_length_a 6.188
_cell_length_b 3.574
_cell_length_c 14.694
_cell_angle_alpha 90.00
_cell_angle_beta 97.97
_cell_angle_gamma 90.00
_space_group_name_H-M_alt 'C 1 2/m 1'
_space_group_IT_number 12
loop_
_space_group_symop_operation_xyz
'x,y,z'
'-x,-y,-z'
'-x,y,-z'
'x,-y,z'
'x+1/2,y+1/2,z'
'-x+1/2,-y+1/2,-z'
'-x+1/2,y+1/2,-z'
'x+1/2,-y+1/2,z'
loop_
_atom_site_label
_atom_site_fract_x
_atom_site_fract_y
_atom_site_fract_z
_atom_site_occupancy
Tb1 0.100 0.000 0.298 1
Tb2 0.200 0.500 0.099 1
Sm1 0.000 0.500 0.500 1
# ΔE to the lowest computed polymorph: 0.00 eV per formula unit
# uncorrected energy: -46.3 eV for the cell shown
# E_form: 0.07 eV per formula unit

***

No. 11
# HoPuCd4 (PBE, optimized geometry)
data_HoPuCd4
_chemical_formula_sum 'Ho4 Pu4 Cd16'
_cell_length_a 6.572
_cell_length_b 17.540
_cell_length_c 5.077
_cell_angle_alpha 90.00
_cell_angle_beta 90.00
_cell_angle_gamma 90.00
_space_group_name_H-M_alt 'C m c m'
_space_group_IT_number 63
_space_group_name_Hall '-C 2c 2'
loop_
_atom_site_label
_atom_site_fract_x
_atom_site_fract_y
_atom_site_fract_z
_atom_site_occupancy
Ho1 0.000 0.126 0.250 1
Pu1 0.000 0.374 0.750 1
Cd1 0.249 0.041 0.750 1
Cd2 0.249 0.208 0.750 1
# ΔE to the lowest computed polymorph: 0.00 eV per formula unit
# uncorrected energy: -94.3 eV for the cell shown
# E_form: -1.02 eV per formula unit

***

No. 12
# Co2AgMo (PBE, optimized geometry)
data_Co2AgMo
_chemical_formula_sum 'Co4 Ag2 Mo2'
_cell_length_a 3.642
_cell_length_b 3.642
_cell_length_c 8.083
_cell_angle_alpha 90.00
_cell_angle_beta 90.00
_cell_angle_gamma 90.00
_space_group_name_H-M_alt 'I -4 m 2'
_space_group_IT_number 119
_space_group_name_Hall 'I -4 -2'
loop_
_atom_site_label
_atom_site_fract_x
_atom_site_fract_y
_atom_site_fract_z
_atom_site_occupancy
Co1 0.000 0.000 0.000 1
Co2 0.000 0.500 0.250 1
Ag1 0.000 0.500 0.750 1
Mo1 0.000 0.000 0.500 1
# ΔE to the lowest computed polymorph: 0.62 eV per formula unit
# uncorrected energy: -52.3 eV for the cell shown
# E_form: 1.76 eV per formula unit

***

No. 13
# PmEr2Bi (PBE, optimized geometry)
data_PmEr2Bi
_chemical_formula_sum 'Pm3 Er6 Bi3'
_cell_length_a 4.0339
_cell_length_b 4.0339
_cell_length_c 28.7332
_cell_angle_alpha 90.00
_cell_angle_beta 90.00
_cell_angle_gamma 120.00
_space_group_name_H-M_alt 'R 3 m'
_space_group_IT_number 160
_space_group_name_Hall 'R 3 -2"'
loop_
_atom_site_label
_atom_site_fract_x
_atom_site_fract_y
_atom_site_fract_z
_atom_site_occupancy
Pm1 0.0000 0.0000 0.0000 1
Er1 0.0000 0.0000 0.2368 1
Er2 0.0000 0.0000 0.4311 1
Bi1 0.0000 0.0000 0.8343 1
# ΔE to the lowest computed polymorph: 1.24 eV per formula unit
# uncorrected energy: -55.1 eV for the cell shown
# E_form: -0.60 eV per formula unit